No. 1
A plane-wave DFT calculation with PBE was carried out for a geometry-optimized Pr7As5S structure.

Unit cell a=4.239 b=7.385 c=24.990 alpha=91.42 beta=90.00 gamma=106.68
Each line ends with the local moment (μB).
Atoms (fractional coordinates):
Pr1 0.440 0.880 0.249  0.16
Pr2 0.560 0.120 0.751  0.16
Pr3 0.641 0.282 0.037  0.01
Pr4 0.361 0.722 0.963  0.01
Pr5 0.365 0.729 0.536  0.01
Pr6 0.635 0.270 0.464  0.01
Pr7 0.188 0.375 0.179  0.10
Pr8 0.814 0.628 0.821  0.10
Pr9 0.819 0.638 0.677  0.07
Pr10 0.181 0.362 0.323  0.07
Pr11 0.920 0.840 0.105  0.03
Pr12 0.082 0.163 0.895  0.03
Pr13 0.091 0.183 0.608  0.01
Pr14 0.908 0.816 0.392  0.01
As1 0.001 0.002 0.000  0.00
As2 0.723 0.447 0.924  0.00
As3 0.278 0.557 0.076  0.00
As4 0.542 0.083 0.351  0.00
As5 0.458 0.916 0.649  0.00
As6 0.000 0.999 0.500  0.00
As7 0.271 0.543 0.427  0.00
As8 0.728 0.456 0.573  0.00
As9 0.447 0.895 0.851  0.00
As10 0.554 0.108 0.149  0.00
S1 0.800 0.600 0.269  -0.01
S2 0.200 0.400 0.732  -0.01

Summary:
Its uncorrected formation energy is -1.405 eV/atom. Its space-group type is Cm.


No. 2
A plane-wave DFT calculation with PBE was carried out for a geometry-optimized OsPd3O6 structure.

Unit cell a=5.141 b=5.039 c=9.437 alpha=90.00 beta=94.06 gamma=90.00
Atoms (fractional coordinates):
Os1 0.500 0.500 0.500
Os2 0.000 0.000 0.000
Pd1 0.496 0.894 0.795
Pd2 0.500 0.500 0.000
Pd3 0.504 0.106 0.205
Pd4 0.996 0.606 0.295
Pd5 0.000 0.000 0.500
Pd6 0.004 0.394 0.705
O1 0.680 0.183 0.914
O2 0.681 0.196 0.585
O3 0.644 0.423 0.321
O4 0.356 0.577 0.679
O5 0.319 0.804 0.415
O6 0.320 0.817 0.086
O7 0.180 0.317 0.414
O8 0.181 0.304 0.085
O9 0.144 0.077 0.821
O10 0.856 0.923 0.179
O11 0.819 0.696 0.915
O12 0.820 0.683 0.586

Summary:
Its uncorrected formation energy is -0.438 eV/atom. Its space-group type is P2_1/c.


No. 3
A plane-wave DFT calculation with PBE was carried out for a geometry-optimized Mg6Cd3Pb structure.

Unit cell a=5.909 b=9.156 c=9.156 alpha=105.21 beta=90.00 gamma=90.00
Atoms (fractional coordinates):
Mg1 0.101 0.742 0.725
Mg2 0.601 0.725 0.742
Mg3 0.336 0.577 0.968
Mg4 0.836 0.968 0.577
Mg5 0.349 0.942 0.058
Mg6 0.587 0.308 0.692
Mg7 0.087 0.692 0.308
Mg8 0.849 0.058 0.942
Mg9 0.336 0.032 0.423
Mg10 0.836 0.423 0.032
Mg11 0.101 0.275 0.258
Mg12 0.601 0.258 0.275
Cd1 0.376 0.005 0.734
Cd2 0.876 0.734 0.005
Cd3 0.342 0.492 0.508
Cd4 0.842 0.508 0.492
Cd5 0.876 0.995 0.266
Cd6 0.376 0.266 0.995
Pb1 0.082 0.296 0.704
Pb2 0.582 0.704 0.296

Summary:
The value obtained for the formation energy from the elements is -0.010 eV per atom. Its distance to the lowest polymorph of the same formula is 0.056 eV/atom. Its space-group type is Cmc2_1.


No. 4
A plane-wave DFT calculation with PBE was carried out for a geometry-optimized CdWSe2 structure.

Unit cell a=4.751 b=4.751 c=6.518 alpha=68.94 beta=68.94 gamma=39.48
Atoms (fractional coordinates):
Cd1 0.180 0.180 0.243
Se1 0.982 0.982 0.982
Se2 0.822 0.822 0.612
W1 0.517 0.517 0.663

Summary:
Its uncorrected formation energy is -0.029 eV/atom. Its space-group type is Cm.


No. 5
A plane-wave DFT calculation with PBE was carried out for a geometry-optimized U3Tl3ZnSe8 structure.

Unit cell a=8.171 b=8.173 c=9.212 alpha=116.25 beta=89.99 gamma=120.11
Each line ends with the local moment (μB).
Atoms (fractional coordinates):
U1 0.500 0.000 0.500  -2.31
U2 0.500 0.500 0.500  -2.31
U3 0.000 0.500 0.500  -2.31
Tl1 0.000 0.000 0.000  0.00
Tl2 0.000 0.500 0.000  0.00
Tl3 0.500 0.500 0.000  0.00
Zn1 0.000 0.000 0.500  -0.01
Se1 0.264 0.528 0.292  0.06
Se2 0.736 0.472 0.708  0.06
Se3 0.773 0.545 0.304  0.06
Se4 0.227 0.455 0.696  0.06
Se5 0.771 0.032 0.303  0.06
Se6 0.229 0.968 0.697  0.06
Se7 0.258 0.031 0.305  0.06
Se8 0.742 0.969 0.695  0.06

Summary:
Its uncorrected formation energy is -0.827 eV/atom. Its space-group type is C2/m.


No. 6
A plane-wave DFT calculation with PBE was carried out for a geometry-optimized BaTmBO4 structure.

Unit cell a=5.016 b=5.403 c=7.217 alpha=90.00 beta=110.21 gamma=90.00
Atoms (fractional coordinates):
Ba1 0.692 0.750 0.917
Ba2 0.308 0.250 0.083
Tm1 0.785 0.750 0.464
Tm2 0.215 0.250 0.536
B1 0.209 0.750 0.322
B2 0.791 0.250 0.678
O1 0.983 0.474 0.713
O2 0.017 0.974 0.287
O3 0.017 0.526 0.287
O4 0.983 0.026 0.713
O5 0.386 0.750 0.193
O6 0.614 0.250 0.807
O7 0.387 0.750 0.536
O8 0.613 0.250 0.464

Summary:
Its uncorrected formation energy is -3.019 eV/atom. Its space-group type is P2_1/m.


No. 7
A plane-wave DFT calculation with PBE was carried out for a geometry-optimized K3HoTm2Se6 structure.

Unit cell a=7.229 b=7.229 c=8.045 alpha=98.61 beta=98.61 gamma=120.00
Atoms (fractional coordinates):
K1 0.166 0.834 0.500
K2 0.834 0.166 0.500
K3 0.500 0.500 0.500
Ho1 0.000 0.000 0.000
Tm1 0.333 0.667 0.000
Tm2 0.667 0.333 0.000
Se1 0.932 0.597 0.797
Se2 0.732 0.732 0.203
Se3 0.068 0.403 0.203
Se4 0.597 0.932 0.797
Se5 0.268 0.268 0.797
Se6 0.403 0.068 0.203

Summary:
Its uncorrected formation energy is -1.755 eV/atom. Its space-group type is C2/m.


No. 8
A plane-wave DFT calculation with PBE was carried out for a geometry-optimized MgCdSb structure.

Unit cell a=4.538 b=4.993 c=8.210 alpha=97.33 beta=114.84 gamma=103.10
Atoms (fractional coordinates):
Mg1 0.466 0.300 0.808
Mg2 0.534 0.700 0.192
Cd1 0.367 0.755 0.542
Cd2 0.633 0.245 0.458
Sb1 0.087 0.718 0.809
Sb2 0.913 0.282 0.191

Summary:
Its distance to the lowest polymorph of the same formula is 0.000 eV/atom. Its uncorrected formation energy is -0.128 eV/atom. Its space-group type is P-1.


| no. | N(E_F) (states/eV/cell) | spin magnetization (μB/atom) | E (eV per atom) |
| --- | --- | --- | --- |
| 1 | 12.0 | 0.08 | -6.084 |
| 2 | 12.3 | 0.00 | -6.093 |
| 3 | 8.1 | 0.00 | -1.612 |
| 4 | 1.6 | 0.00 | -5.239 |
| 5 | 13.5 | 0.47 | -5.501 |
| 6 | 0.0 | 0.00 | -7.720 |
| 7 | 0.0 | 0.00 | -4.899 |
| 8 | 1.6 | 0.00 | -2.339 |